1.
Here is a relaxed YCdRu3 crystal from Alexandria. Energies are from PBE.

a b c (Å): 4.8799 4.8799 4.8799
angles (deg): 90.00 90.00 90.00
Last column: nearest neighbours and their distance in Å.
Space group Pm-3m (No. 221)
Unique sites:
Y 0.0000 0.0000 0.0000 [1 per cell]  12 Ru 3.45
Cd 0.5000 0.5000 0.5000 [1 per cell]  6 Ru 2.44
Ru 0.0000 0.5000 0.5000 [3 per cell]  2 Cd 2.44

Summary:
- calculated formation energy (eV per atom) = 1.506
- density (g/cm³) = 7.2
- energy relative to the lowest polymorph listed for this composition (eV/f.u.) = 0.00

2.
Here is a relaxed Y2CdRu crystal from Alexandria. Energies are from PBE.

a b c (Å): 3.4864 3.4864 7.6266
angles (deg): 90.00 90.00 90.00
Last column: nearest neighbours and their distance in Å.
Space group P4/mmm (No. 123)
Unique sites:
Y 0.0000 0.0000 0.2170 [2 per cell]  4 Ru 2.97, 4 Cd 3.28, 1 Y 3.31
Cd 0.5000 0.5000 0.5000 [1 per cell]  8 Y 3.28, 4 Cd 3.49
Ru 0.5000 0.5000 0.0000 [1 per cell]  8 Y 2.97

Summary:
- calculated formation energy (eV per atom) = -0.394
- density (g/cm³) = 7.0

3.
Here is a relaxed Y2CdRu crystal from Alexandria. Energies are from PBE.

a b c (Å): 3.6591 3.6591 26.0651
angles (deg): 90.00 90.00 120.00
Last column: nearest neighbours and their distance in Å.
Space group R-3m (No. 166, hexagonal axes)
Unique sites:
Y 0.0000 0.0000 0.2368 [6 per cell]  3 Ru 2.79
Cd 0.0000 0.0000 0.0000 [3 per cell]  6 Y 3.28, 6 Cd 3.66
Ru 0.0000 0.0000 0.5000 [3 per cell]  6 Y 2.79

Summary:
- calculated formation energy (eV per atom) = -0.143
- density (g/cm³) = 6.4

4.
Here is a relaxed YCd3Ru crystal from Alexandria. Energies are from PBE.

a b c (Å): 5.7027 5.7027 5.7027
angles (deg): 90.00 90.00 90.00
Last column: nearest neighbours and their distance in Å.
Space group Pm-3m (No. 221)
Unique sites:
Y 0.0000 0.0000 0.0000 [1 per cell]  6 Cd 2.85
Cd 0.0000 0.0000 0.5000 [3 per cell]  2 Y 2.85
Ru 0.5000 0.5000 0.5000 [1 per cell]  12 Cd 4.03

Summary:
- calculated formation energy (eV per atom) = 1.577
- density (g/cm³) = 4.7
- energy relative to the lowest polymorph listed for this composition (eV/f.u.) = 6.12

5.
Here is a relaxed Y8Cd2Ru crystal from Alexandria. Energies are from PBE.

a b c (Å): 17.6303 5.3693 6.9712
angles (deg): 90.00 110.40 90.00
Last column: nearest neighbours and their distance in Å.
Space group C2/m (No. 12)
Unique sites:
Y 0.0206 0.0000 0.2876 [4 per cell]  1 Cd 3.09, 2 Ru 3.15, 3 Y 3.29-3.35
Y 0.0919 0.5000 0.9196 [4 per cell]  1 Ru 2.81
Y 0.1517 0.5000 0.4505 [4 per cell]  1 Ru 2.81, 1 Cd 3.08
Y 0.1968 0.0000 0.7869 [4 per cell]  1 Cd 3.02
Cd 0.1818 0.0000 0.2052 [4 per cell]  5 Y 3.02-3.32
Ru 0.0000 0.5000 0.5000 [2 per cell]  4 Y 2.81

Summary:
- calculated formation energy (eV per atom) = -0.203
- density (g/cm³) = 5.6

6.
Here is a relaxed Y2CdRu crystal from Alexandria. Energies are from PBE.

a b c (Å): 3.7130 4.6931 5.7477
angles (deg): 90.00 108.71 90.00
Last column: nearest neighbours and their distance in Å.
Space group Pm (No. 6)
Unique sites:
Y 0.0000 0.0000 0.0000 [1 per cell]  3 Ru 2.95-3.11, 4 Cd 3.09
Y 0.2885 0.5000 0.5793 [1 per cell]  3 Cd 3.01-3.07, 4 Ru 3.06-3.07
Cd 0.5711 0.5000 0.1428 [1 per cell]  2 Ru 2.91, 7 Y 3.01-3.09
Ru 0.7277 0.0000 0.4581 [1 per cell]  2 Cd 2.91, 7 Y 2.95-3.11

Summary:
- calculated formation energy (eV per atom) = -0.210
- density (g/cm³) = 6.8